Na2TeI after structural relaxation. Source: Alexandria, functional PBE-GGA.

Cell and atoms, written as POSCAR:
```
Na2TeI
1.0
-4.2904 4.2904 3.5273
4.2904 -4.2904 3.5273
4.2904 4.2904 -3.5273
Na Te I
4 2 2
direct
0.1159 0.6250 0.9909
0.3750 0.3659 0.4909
0.6341 0.1250 0.0091
0.8750 0.8841 0.5091
0.0000 0.0000 0.0000
0.7500 0.2500 0.5000
0.2500 0.7500 0.5000
0.5000 0.5000 0.0000
```

Density of states at the Fermi level   0.3564 states/eV/atom
Raw formation energy   -0.740 eV per atom
Final energy   -0.0945 Ha/atom
ΔE to the lowest computed polymorph   70 meV/atom